# PBE-GGA SnGeCl5, optimized geometry
data_SnGeCl5
_cell_length_a 7.152
_cell_length_b 7.152
_cell_length_c 7.152
_cell_angle_alpha 104.21
_cell_angle_beta 92.01
_cell_angle_gamma 136.01
_space_group_name_H-M_alt 'P 1'
_space_group_IT_number 1
_space_group_name_Hall 'P 1'
loop_
_atom_site_label
_atom_site_type_symbol
_atom_site_fract_x
_atom_site_fract_y
_atom_site_fract_z
Sn1 Sn 0.000 0.000 0.000
Ge1 Ge 0.384 0.884 0.500
Cl1 Cl 0.090 0.839 0.251
Cl2 Cl 0.348 0.151 0.803
Cl3 Cl 0.348 0.545 0.197
Cl4 Cl 0.588 0.839 0.749
Cl5 Cl 0.803 0.303 0.500
# Formation energy from raw total energies (meV/atom): -783
# Electronic total energy (eV for the cell shown): -23.34
# Total magnetization (μB/f.u.): 0.0